No. 1
Material: GaPbC3
Method: DFT, PBE
State: relaxed

Cell: 4.150 4.150 4.150 Å, 90.00 90.00 90.00°
Fractional positions:
1 C 0.000 0.500 0.000
2 Ga 0.000 0.000 0.000
3 C 0.000 0.000 0.500
4 C 0.500 0.000 0.000
5 Pb 0.500 0.500 0.500

The calculation puts the formation energy at 2.52 eV per atom. The magnetization comes out at 0.00 Bohr magnetons per cell. As for the final energy: -4.3633 eV/atom. The density comes out at 7.3 g/cm³. The value obtained for the volume is 14.30 A^3/atom. Its relative energy among the computed polymorphs is 0 meV per atom.

=====

No. 2
Material: PrSm3Cu4
Method: DFT, PBE
State: relaxed

Cell: 5.051 7.106 10.102 Å, 90.00 90.00 90.00°
Fractional positions:
1 Sm 0.499 0.500 0.250
2 Cu 0.997 0.756 0.250
3 Pr 0.000 0.500 0.500
4 Cu 0.500 0.756 0.000
5 Sm 0.502 0.000 0.750
6 Cu 0.500 0.756 0.500
7 Sm 0.501 0.500 0.750
8 Cu 0.997 0.244 0.250
9 Pr 0.000 0.500 0.000
10 Cu 0.500 0.244 0.500
11 Cu 0.500 0.244 0.000
12 Sm 0.000 0.000 0.500
13 Sm 0.000 0.000 0.000
14 Cu 0.003 0.756 0.750
15 Cu 0.003 0.244 0.750
16 Sm 0.498 0.000 0.250

The calculation puts the formation energy at -0.16 eV per atom. The magnetization comes out at 0.00 Bohr magnetons per cell. As for the final energy: -4.5772 eV/atom. The density comes out at 7.8 g/cm³. The value obtained for the volume is 22.66 A^3/atom.